# SrMg5I12

SrMg5I12 after structural relaxation (GGA-PBE, Alexandria).

- DOS(E_F): 0.00 states/eV/atom
- DFT total energy: -2.710 eV/atom
- M_tot: 0.00 μB per cell
- Formation energy (no corrections): -1.1401 eV/atom

Lattice parameters (Å, degrees): 7.440 12.892 15.858 90.00 90.07 90.00
Space group C2/m (No. 12)
Asymmetric unit:
Sr1 0.000 0.000 0.000
Mg1 0.000 0.167 0.500
Mg2 0.000 0.333 0.000
Mg3 0.000 0.500 0.500
I1 0.135 0.500 0.111
I2 0.166 0.000 0.396
I3 0.166 0.333 0.396
I4 0.183 0.183 0.111